Computed, not measured: a geometry-optimized Sm4Dy3Tm structure at the GGA-PBE level of DFT.

Cell and atoms, written as CIF:
```
data_Sm4Dy3Tm
_cell_length_a 11.432
_cell_length_b 7.294
_cell_length_c 6.298
_cell_angle_alpha 90.00
_cell_angle_beta 90.00
_cell_angle_gamma 90.00
_space_group_name_H-M_alt 'P 1'
_space_group_IT_number 1
loop_
_space_group_symop_operation_xyz
'x,y,z'
loop_
_atom_site_label
_atom_site_type_symbol
_atom_site_fract_x
_atom_site_fract_y
_atom_site_fract_z
Sm1 Sm 0.000 0.127 0.000
Sm2 Sm 0.000 0.873 0.497
Sm3 Sm 0.249 0.872 0.833
Sm4 Sm 0.251 0.128 0.333
Sm5 Sm 0.500 0.127 0.997
Sm6 Sm 0.500 0.873 0.500
Sm7 Sm 0.749 0.128 0.333
Sm8 Sm 0.751 0.872 0.833
Dy1 Dy 0.000 0.377 0.499
Dy2 Dy 0.250 0.378 0.831
Dy3 Dy 0.250 0.622 0.331
Dy4 Dy 0.500 0.623 0.999
Dy5 Dy 0.750 0.378 0.831
Dy6 Dy 0.750 0.622 0.331
Tm1 Tm 0.000 0.622 0.999
Tm2 Tm 0.500 0.378 0.499
```

Computed properties:
N(E_F) = 1.77 states/eV per atom
Calculated total energy = -4.623 eV/atom

=====

Computed, not measured: a geometry-optimized W2SCl structure at the GGA-PBE level of DFT.

Cell and atoms, written as CIF:
```
data_W2SCl
_cell_length_a 6.217
_cell_length_b 6.217
_cell_length_c 6.217
_cell_angle_alpha 126.35
_cell_angle_beta 126.35
_cell_angle_gamma 79.31
_space_group_name_H-M_alt 'P 1'
_space_group_IT_number 1
loop_
_space_group_symop_operation_xyz
'x,y,z'
loop_
_atom_site_label
_atom_site_type_symbol
_atom_site_fract_x
_atom_site_fract_y
_atom_site_fract_z
W1 W 0.120 0.625 0.995
W2 W 0.375 0.370 0.495
W3 W 0.630 0.125 0.005
W4 W 0.875 0.880 0.505
S1 S 0.000 0.000 0.000
S2 S 0.750 0.250 0.500
Cl1 Cl 0.250 0.750 0.500
Cl2 Cl 0.500 0.500 0.000
```

Computed properties:
N(E_F) = 1.08 states/eV per atom
Calculated total energy = -6.931 eV/atom
Raw formation energy = 1.0392 eV per atom

=====

Computed, not measured: a geometry-optimized Tb2Ge3Pt structure at the GGA-PBE level of DFT.

Cell and atoms, written as CIF:
```
data_Tb2Ge3Pt
_cell_length_a 3.998
_cell_length_b 4.427
_cell_length_c 7.163
_cell_angle_alpha 90.00
_cell_angle_beta 90.00
_cell_angle_gamma 90.00
_space_group_name_H-M_alt 'P 1'
_space_group_IT_number 1
loop_
_space_group_symop_operation_xyz
'x,y,z'
loop_
_atom_site_label
_atom_site_type_symbol
_atom_site_fract_x
_atom_site_fract_y
_atom_site_fract_z
Tb1 Tb 0.000 0.000 0.000
Tb2 Tb 0.000 0.500 0.495
Ge1 Ge 0.500 0.000 0.664
Ge2 Ge 0.500 0.500 0.170
Ge3 Ge 0.500 0.500 0.826
Pt1 Pt 0.500 0.000 0.323
```

Computed properties:
N(E_F) = 0.40 states/eV per atom
Calculated total energy = -5.708 eV/atom

=====

Computed, not measured: a geometry-optimized SrLiLaTe3 structure at the GGA-PBE level of DFT.

Cell and atoms, written as CIF:
```
data_SrLiLaTe3
_cell_length_a 9.468
_cell_length_b 4.557
_cell_length_c 9.856
_cell_angle_alpha 90.00
_cell_angle_beta 101.63
_cell_angle_gamma 90.00
_space_group_name_H-M_alt 'P 1'
_space_group_IT_number 1
loop_
_space_group_symop_operation_xyz
'x,y,z'
loop_
_atom_site_label
_atom_site_type_symbol
_atom_site_fract_x
_atom_site_fract_y
_atom_site_fract_z
Sr1 Sr 0.178 0.250 0.233
Sr2 Sr 0.822 0.750 0.767
Li1 Li 0.084 0.250 0.584
Li2 Li 0.916 0.750 0.416
La1 La 0.332 0.750 0.830
La2 La 0.668 0.250 0.170
Te1 Te 0.101 0.250 0.869
Te2 Te 0.214 0.750 0.502
Te3 Te 0.427 0.750 0.169
Te4 Te 0.573 0.250 0.831
Te5 Te 0.786 0.250 0.498
Te6 Te 0.899 0.750 0.131
```

Computed properties:
Calculated total energy = -4.468 eV/atom
Raw formation energy = -1.4764 eV per atom

=====

Computed, not measured: a geometry-optimized HoIn2Au2 structure at the GGA-PBE level of DFT.

Cell and atoms, written as CIF:
```
data_HoIn2Au2
_cell_length_a 4.933
_cell_length_b 4.892
_cell_length_c 9.835
_cell_angle_alpha 90.00
_cell_angle_beta 90.03
_cell_angle_gamma 90.00
_space_group_name_H-M_alt 'P 1'
_space_group_IT_number 1
loop_
_space_group_symop_operation_xyz
'x,y,z'
loop_
_atom_site_label
_atom_site_type_symbol
_atom_site_fract_x
_atom_site_fract_y
_atom_site_fract_z
Ho1 Ho 0.249 0.250 0.325
Ho2 Ho 0.751 0.750 0.675
In1 In 0.250 0.250 0.673
In2 In 0.251 0.250 0.991
In3 In 0.749 0.750 0.009
In4 In 0.750 0.750 0.327
Au1 Au 0.249 0.750 0.157
Au2 Au 0.250 0.750 0.515
Au3 Au 0.750 0.250 0.485
Au4 Au 0.751 0.250 0.843
```

Computed properties:
N(E_F) = 0.24 states/eV per atom
Calculated total energy = -3.859 eV/atom

=====

Computed, not measured: a geometry-optimized SrCdW2 structure at the GGA-PBE level of DFT.

Cell and atoms, written as CIF:
```
data_SrCdW2
_cell_length_a 6.042
_cell_length_b 6.042
_cell_length_c 6.042
_cell_angle_alpha 147.66
_cell_angle_beta 126.85
_cell_angle_gamma 63.60
_space_group_name_H-M_alt 'P 1'
_space_group_IT_number 1
loop_
_space_group_symop_operation_xyz
'x,y,z'
loop_
_atom_site_label
_atom_site_type_symbol
_atom_site_fract_x
_atom_site_fract_y
_atom_site_fract_z
Sr1 Sr 0.000 0.000 0.000
Cd1 Cd 0.713 0.213 0.500
W1 W 0.283 0.783 0.500
W2 W 0.456 0.456 0.000
```

Computed properties:
N(E_F) = 0.70 states/eV per atom
Calculated total energy = -6.214 eV/atom

=====

Computed, not measured: a geometry-optimized CaTiTlBr6 structure at the GGA-PBE level of DFT.

Cell and atoms, written as CIF:
```
data_CaTiTlBr6
_cell_length_a 7.211
_cell_length_b 7.211
_cell_length_c 14.333
_cell_angle_alpha 90.00
_cell_angle_beta 90.00
_cell_angle_gamma 120.00
_space_group_name_H-M_alt 'P 1'
_space_group_IT_number 1
loop_
_space_group_symop_operation_xyz
'x,y,z'
loop_
_atom_site_label
_atom_site_type_symbol
_atom_site_fract_x
_atom_site_fract_y
_atom_site_fract_z
Ca1 Ca 0.333 0.667 0.250
Ca2 Ca 0.667 0.333 0.750
Ti1 Ti 0.333 0.667 0.750
Ti2 Ti 0.667 0.333 0.250
Tl1 Tl 0.000 0.000 0.000
Tl2 Tl 0.000 0.000 0.500
Br1 Br 0.031 0.383 0.643
Br2 Br 0.031 0.648 0.857
Br3 Br 0.352 0.383 0.857
Br4 Br 0.352 0.969 0.643
Br5 Br 0.383 0.031 0.143
Br6 Br 0.383 0.352 0.357
Br7 Br 0.617 0.648 0.643
Br8 Br 0.617 0.969 0.857
Br9 Br 0.648 0.031 0.357
Br10 Br 0.648 0.617 0.143
Br11 Br 0.969 0.352 0.143
Br12 Br 0.969 0.617 0.357
```

Computed properties:
N(E_F) = 0.73 states/eV per atom
Calculated total energy = -3.863 eV/atom
Raw formation energy = -1.3857 eV per atom

=====

Computed, not measured: a geometry-optimized AcLaGePt structure at the GGA-PBE level of DFT.

Cell and atoms, written as CIF:
```
data_AcLaGePt
_cell_length_a 5.357
_cell_length_b 5.357
_cell_length_c 5.357
_cell_angle_alpha 60.00
_cell_angle_beta 60.00
_cell_angle_gamma 60.00
_space_group_name_H-M_alt 'P 1'
_space_group_IT_number 1
loop_
_space_group_symop_operation_xyz
'x,y,z'
loop_
_atom_site_label
_atom_site_type_symbol
_atom_site_fract_x
_atom_site_fract_y
_atom_site_fract_z
Ac1 Ac 0.000 0.000 0.000
La1 La 0.500 0.500 0.500
Ge1 Ge 0.250 0.250 0.250
Pt1 Pt 0.750 0.750 0.750
```

Computed properties:
N(E_F) = 0.24 states/eV per atom
Calculated total energy = -5.750 eV/atom

=====

Computed, not measured: a geometry-optimized La4Pm2Tm3 structure at the GGA-PBE level of DFT.

Cell and atoms, written as CIF:
```
data_La4Pm2Tm3
_cell_length_a 6.276
_cell_length_b 6.276
_cell_length_c 10.912
_cell_angle_alpha 106.08
_cell_angle_beta 106.08
_cell_angle_gamma 48.68
_space_group_name_H-M_alt 'P 1'
_space_group_IT_number 1
loop_
_space_group_symop_operation_xyz
'x,y,z'
loop_
_atom_site_label
_atom_site_type_symbol
_atom_site_fract_x
_atom_site_fract_y
_atom_site_fract_z
La1 La 0.003 0.003 0.334
La2 La 0.333 0.333 0.112
La3 La 0.667 0.667 0.888
La4 La 0.997 0.997 0.666
Pm1 Pm 0.331 0.331 0.774
Pm2 Pm 0.669 0.669 0.226
Tm1 Tm 0.000 0.000 0.000
Tm2 Tm 0.335 0.335 0.448
Tm3 Tm 0.665 0.665 0.552
```

Computed properties:
N(E_F) = 1.63 states/eV per atom
Calculated total energy = -4.708 eV/atom

=====

Computed, not measured: a geometry-optimized PaRuPt structure at the GGA-PBE level of DFT.

Cell and atoms, written as CIF:
```
data_PaRuPt
_cell_length_a 5.305
_cell_length_b 5.305
_cell_length_c 5.579
_cell_angle_alpha 90.00
_cell_angle_beta 90.00
_cell_angle_gamma 134.39
_space_group_name_H-M_alt 'P 1'
_space_group_IT_number 1
loop_
_space_group_symop_operation_xyz
'x,y,z'
loop_
_atom_site_label
_atom_site_type_symbol
_atom_site_fract_x
_atom_site_fract_y
_atom_site_fract_z
Pa1 Pa 0.182 0.818 0.750
Pa2 Pa 0.818 0.182 0.250
Ru1 Ru 0.131 0.869 0.250
Ru2 Ru 0.869 0.131 0.750
Pt1 Pt 0.500 0.500 0.000
Pt2 Pt 0.500 0.500 0.500
```

Computed properties:
N(E_F) = 0.85 states/eV per atom
Calculated total energy = -9.018 eV/atom

=====

Computed, not measured: a geometry-optimized TmBeSe structure at the GGA-PBE level of DFT.

Cell and atoms, written as CIF:
```
data_TmBeSe
_cell_length_a 9.759
_cell_length_b 9.759
_cell_length_c 9.759
_cell_angle_alpha 157.62
_cell_angle_beta 157.62
_cell_angle_gamma 31.86
_space_group_name_H-M_alt 'P 1'
_space_group_IT_number 1
loop_
_space_group_symop_operation_xyz
'x,y,z'
loop_
_atom_site_label
_atom_site_type_symbol
_atom_site_fract_x
_atom_site_fract_y
_atom_site_fract_z
Tm1 Tm 0.091 0.091 0.000
Tm2 Tm 0.909 0.909 0.000
Be1 Be 0.451 0.451 0.000
Be2 Be 0.549 0.549 0.000
Se1 Se 0.339 0.339 0.000
Se2 Se 0.661 0.661 0.000
```

Computed properties:
N(E_F) = 0.82 states/eV per atom
Calculated total energy = -4.352 eV/atom
Raw formation energy = -0.4576 eV per atom

=====

Computed, not measured: a geometry-optimized Tb12Zn6In structure at the GGA-PBE level of DFT.

Cell and atoms, written as CIF:
```
data_Tb12Zn6In
_cell_length_a 8.713
_cell_length_b 8.713
_cell_length_c 8.713
_cell_angle_alpha 109.47
_cell_angle_beta 109.47
_cell_angle_gamma 109.47
_space_group_name_H-M_alt 'P 1'
_space_group_IT_number 1
loop_
_space_group_symop_operation_xyz
'x,y,z'
loop_
_atom_site_label
_atom_site_type_symbol
_atom_site_fract_x
_atom_site_fract_y
_atom_site_fract_z
Tb1 Tb 0.096 0.289 0.807
Tb2 Tb 0.193 0.481 0.289
Tb3 Tb 0.193 0.904 0.711
Tb4 Tb 0.289 0.193 0.481
Tb5 Tb 0.289 0.807 0.096
Tb6 Tb 0.481 0.289 0.193
Tb7 Tb 0.519 0.711 0.807
Tb8 Tb 0.711 0.193 0.904
Tb9 Tb 0.711 0.807 0.519
Tb10 Tb 0.807 0.096 0.289
Tb11 Tb 0.807 0.519 0.711
Tb12 Tb 0.904 0.711 0.193
Zn1 Zn 0.123 0.500 0.623
Zn2 Zn 0.377 0.877 0.500
Zn3 Zn 0.500 0.377 0.877
Zn4 Zn 0.500 0.623 0.123
Zn5 Zn 0.623 0.123 0.500
Zn6 Zn 0.877 0.500 0.377
In1 In 0.000 0.000 0.000
```

Computed properties:
N(E_F) = 0.90 states/eV per atom
Calculated total energy = -3.676 eV/atom

=====

Q: Look up the calculated total energy of the third one.
A: -5.708 eV/atom

=====

Q: Which of these has the lowest calculated total energy?
A: PaRuPt